Material: CdTcO3
Method: DFT, PBE
State: optimized geometry

Lattice parameters (Å, degrees): 5.3313 5.3313 5.3313 62.66 62.66 62.66
Fractional positions:
Cd 0.2500 0.2500 0.2500
Cd 0.7500 0.7500 0.7500
Tc 0.0000 0.0000 0.0000
Tc 0.5000 0.5000 0.5000
O 0.1497 0.7500 0.3503
O 0.2500 0.6497 0.8503
O 0.3503 0.1497 0.7500
O 0.6497 0.8503 0.2500
O 0.7500 0.3503 0.1497
O 0.8503 0.2500 0.6497

**Mass density**: 7.56 Mg/m³
**Calculated total energy**: -6.355 eV per atom
**V**: 11.35 Å³ per atom